Record 1
First-principles (SCAN) data for Li2SnAu2 at its PBEsol-relaxed geometry, as listed in Alexandria via LeMat-Bulk.

```
Li2SnAu2
1.0
-1.1707 -0.2185 2.7548
-5.2024 -4.6243 -2.5776
4.4323 -5.7807 1.4252
Au Sn Li
4 2 4
Direct
0.5000 0.1561 0.6561
0.5000 0.6561 0.8439
0.5000 0.8439 0.3439
0.5000 0.3439 0.1561
0.0000 0.0000 0.0000
0.0000 0.5000 0.5000
0.0000 0.3658 0.8658
0.0000 0.8658 0.6342
0.0000 0.6342 0.1342
0.0000 0.1342 0.3658
```

Space-group type   P4/mbm, No. 127
Calculated formation energy   -0.402 eV per atom
Final energy   -36.205 eV per atom

Record 2
First-principles (SCAN) data for LiSn2Au2 at its PBEsol-relaxed geometry, as listed in Alexandria via LeMat-Bulk.

```
LiSn2Au2
1.0
-2.5089 2.6448 -1.0865
-2.1534 -4.3523 -5.6216
-5.1517 -3.0927 4.3678
Au Sn Li
4 4 2
Direct
0.0000 0.3624 0.8624
0.0000 0.8624 0.6376
0.0000 0.6376 0.1376
0.0000 0.1376 0.3624
0.5000 0.1680 0.6680
0.5000 0.6680 0.8320
0.5000 0.8320 0.3320
0.5000 0.3320 0.1680
0.0000 0.0000 0.0000
0.0000 0.5000 0.5000
```

Space-group type   P4/mbm, No. 127
Calculated formation energy   -0.244 eV per atom
Final energy   -42.753 eV per atom

Record 3
First-principles (SCAN) data for Li2Sn2Au at its PBEsol-relaxed geometry, as listed in Alexandria via LeMat-Bulk.

```
Li2Sn2Au
1.0
-3.7429 0.0481 -0.9264
-0.2546 -3.7564 0.8335
0.4411 3.3737 6.4190
Au Sn Li
1 2 2
Direct
0.0000 0.0000 0.0000
0.3999 0.3999 0.7998
0.6001 0.6001 0.2002
0.2500 0.7500 0.5000
0.7500 0.2500 0.5000
```

Space-group type   I4/mmm, No. 139
Calculated formation energy   -0.067 eV per atom
Final energy   -29.222 eV per atom

Record 4
First-principles (SCAN) data for Li3SnAu at its PBEsol-relaxed geometry, as listed in Alexandria via LeMat-Bulk.

```
Li3SnAu
1.0
4.7195 0.0000 0.0000
0.0000 4.7195 0.0000
0.0000 0.0000 4.7195
Au Sn Li
1 1 3
Direct
0.0000 0.0000 0.0000
0.5000 0.5000 0.5000
0.0000 0.5000 0.0000
0.0000 0.0000 0.5000
0.5000 0.0000 0.0000
```

Space-group type   Pm-3m, No. 221
Calculated formation energy   -0.220 eV per atom
Final energy   -22.669 eV per atom
ΔE to the lowest computed polymorph   0.000 eV/atom

Record 5
First-principles (SCAN) data for Sr2LiAu at its PBEsol-relaxed geometry, as listed in Alexandria via LeMat-Bulk.

```
Sr2LiAu
1.0
3.8547 0.0000 0.0000
0.0000 3.8547 0.0000
0.0000 0.0000 8.3345
Sr Au Li
2 1 1
Direct
0.0000 0.0000 0.7865
0.0000 0.0000 0.2135
0.5000 0.5000 0.0000
0.5000 0.5000 0.5000
```

Space-group type   P4/mmm, No. 123
Calculated formation energy   -0.467 eV per atom
Final energy   -29.491 eV per atom
ΔE to the lowest computed polymorph   0.052 eV/atom

Record 6
First-principles (SCAN) data for SrLi3Au at its PBEsol-relaxed geometry, as listed in Alexandria via LeMat-Bulk.

```
SrLi3Au
1.0
4.9770 0.0000 0.0000
0.0000 4.9770 0.0000
0.0000 0.0000 4.9770
Sr Au Li
1 1 3
Direct
0.5000 0.5000 0.5000
0.0000 0.0000 0.0000
0.0000 0.5000 0.0000
0.0000 0.0000 0.5000
0.5000 0.0000 0.0000
```

Space-group type   Pm-3m, No. 221
Calculated formation energy   -0.325 eV per atom
Final energy   -20.045 eV per atom